1.
Here is crystalline K2Ba2Al at its relaxed geometry from Alexandria. Energies are from PBE.

Cell lengths 12.2189, 12.2189, 12.2189 Å; angles 157.55, 157.55, 31.95 degrees
Positions (direct):
K1 0.2500 0.7500 0.5000
K2 0.7500 0.2500 0.5000
Ba1 0.0787 0.0787 0.0000
Ba2 0.9213 0.9213 0.0000
Al1 0.5000 0.5000 0.0000

Values from the calculation:
Calculated formation energy = 1.4 eV/f.u.
Magnetic moment = 0.00 μB/cell


2.
Here is crystalline Ti3NbAl4 at its relaxed geometry from Alexandria. Energies are from PBE.

Cell lengths 9.1534, 5.7605, 5.0230 Å; angles 90.00, 90.00, 90.00 degrees
Positions (direct):
Ti1 0.0000 0.1217 0.0000
Ti2 0.2354 0.6194 0.6925
Ti3 0.2646 0.3806 0.1925
Ti4 0.5000 0.8783 0.5000
Ti5 0.7354 0.3806 0.1925
Ti6 0.7646 0.6194 0.6925
Nb1 0.0000 0.6069 0.0657
Nb2 0.5000 0.3931 0.5657
Al1 0.0000 0.3498 0.5148
Al2 0.0000 0.8845 0.5216
Al3 0.2465 0.8793 0.1901
Al4 0.2535 0.1207 0.6901
Al5 0.5000 0.1155 0.0216
Al6 0.5000 0.6502 0.0148
Al7 0.7465 0.1207 0.6901
Al8 0.7535 0.8793 0.1901

Values from the calculation:
Calculated formation energy = -2.3 eV/f.u.
Magnetic moment = 0.01 μB/cell